Record 1
Compound: B2SeCl
Source: the Alexandria database
Functional: meta-GGA SCAN
Structure: single point on PBEsol structure

- D(E_F): 3.12 states/eV/cell
- M_tot: 0.00 μB per cell
- Space-group type: I-42d, No. 122
- Polymorph energy (0 for the lowest one): 0.00 kJ per mole of atoms

abc: 5.294 5.294 5.294
angles: 98.14 115.42 115.42
Sites, in units of the cell vectors:
B 0.023 0.648 0.125
B 0.477 0.375 0.352
B 0.977 0.102 0.625
B 0.523 0.875 0.898
Se 0.000 0.000 0.000
Se 0.500 0.750 0.250
Cl 0.500 0.250 0.750
Cl 0.000 0.500 0.500

Record 2
Compound: B2SeCl
Source: the Alexandria database
Functional: meta-GGA SCAN
Structure: single point on PBEsol structure

- D(E_F): 1.66 states/eV/cell
- M_tot: 0.00 μB per cell
- Space-group type: Fm-3m, No. 225
- Polymorph energy (0 for the lowest one): 54.57 kJ per mole of atoms

abc: 4.190 4.190 4.190
angles: 60.00 60.00 60.00
Sites, in units of the cell vectors:
Se 0.500 0.500 0.500
B 0.750 0.750 0.750
B 0.250 0.250 0.250
Cl 0.000 0.000 0.000

Record 3
Compound: TiBSeCl2
Source: the Alexandria database
Functional: meta-GGA SCAN
Structure: single point on PBEsol structure

- D(E_F): 3.36 states/eV/cell
- M_tot: 3.09 μB per cell
- Space-group type: P4/mmm, No. 123

abc: 4.781 5.219 5.219
angles: 90.00 90.00 90.00
Each line ends with the local moment (μB).
Sites, in units of the cell vectors:
Cl 0.000 0.500 0.000  0.07
Cl 0.000 0.000 0.500  0.07
Ti 0.500 0.000 0.000  1.77
Se 0.000 0.000 0.000  -0.11
B 0.500 0.500 0.500  0.35

Record 4
Compound: ZnB2SeCl
Source: the Alexandria database
Functional: meta-GGA SCAN
Structure: single point on PBEsol structure

- D(E_F): 3.01 states/eV/cell
- M_tot: 0.57 μB per cell
- Space-group type: P4/mmm, No. 123

abc: 4.119 4.119 5.288
angles: 90.00 90.00 90.00
Each line ends with the local moment (μB).
Sites, in units of the cell vectors:
Cl 0.500 0.500 0.500  0.03
B 0.000 0.500 0.000  0.10
B 0.500 0.000 0.000  0.10
Zn 0.000 0.000 0.500  0.04
Se 0.000 0.000 0.000  0.00

Record 5
Compound: SnBCl2
Source: the Alexandria database
Functional: meta-GGA SCAN
Structure: single point on PBEsol structure

- D(E_F): 1.44 states/eV/cell
- M_tot: 0.00 μB per cell
- Space-group type: Fm-3m, No. 225
- Polymorph energy (0 for the lowest one): 11.44 kJ per mole of atoms

abc: 4.813 4.813 4.813
angles: 60.00 60.00 60.00
Sites, in units of the cell vectors:
Sn 0.500 0.500 0.500
Cl 0.250 0.250 0.250
Cl 0.750 0.750 0.750
B 0.000 0.000 0.000

Record 6
Compound: Sn2BCl
Source: the Alexandria database
Functional: meta-GGA SCAN
Structure: single point on PBEsol structure

- D(E_F): 1.34 states/eV/cell
- M_tot: 0.00 μB per cell
- Space-group type: Fm-3m, No. 225

abc: 4.756 4.756 4.756
angles: 60.00 60.00 60.00
Sites, in units of the cell vectors:
B 0.000 0.000 0.000
Sn 0.750 0.750 0.750
Sn 0.250 0.250 0.250
Cl 0.500 0.500 0.500

| no. | E_form (uncorrected) (meV per atom) |
| --- | --- |
| 1 | 1315 |
| 2 | 1881 |
| 3 | 1006 |
| 4 | 1441 |
| 5 | 689 |
| 6 | 790 |